1.
The following is a PBE calculation of a relaxed structure of Tb3Co2B2As3, from the Open Quantum Materials Database.

Properties
DFT total energy = -6.30 eV per atom

abc: 11.6303 11.6303 11.6303
angles: 160.47 160.47 27.76
With the nearest neighbours (Å) after each atom.
Atoms (fractional coordinates):
As1 0.8747 0.8747 0.0000  1 B 2.11
As2 0.1253 0.1253 0.0000  1 B 2.11
As3 0.5000 0.5000 0.0000  4 Tb 2.79
Co1 0.7500 0.2500 0.5000  4 B 2.09
Co2 0.2500 0.7500 0.5000  4 B 2.09
B1 0.2189 0.2189 0.0000  4 Co 2.09, 1 As 2.11
B2 0.7811 0.7811 0.0000  4 Co 2.09, 1 As 2.11
Tb1 0.3573 0.3573 0.0000  4 As 2.82, 4 Co 3.12, 1 B 3.13
Tb2 0.0000 0.0000 0.0000  6 As 2.79-2.83
Tb3 0.6427 0.6427 0.0000  4 As 2.82, 4 Co 3.12, 1 B 3.13

2.
The following is a PBE calculation of a relaxed structure of CuBAs2, from the Open Quantum Materials Database.

Properties
DFT total energy = -3.87 eV per atom

abc: 4.3796 4.3796 4.3796
angles: 60.00 60.00 60.00
With the nearest neighbours (Å) after each atom.
Atoms (fractional coordinates):
B1 0.5000 0.5000 0.5000  4 As 2.68, 4 Cu 2.68
As1 0.0000 0.0000 0.0000  4 As 2.68, 4 Cu 2.68
As2 0.7500 0.7500 0.7500  4 B 2.68, 4 As 2.68
Cu1 0.2500 0.2500 0.2500  4 As 2.68, 4 B 2.68

3.
The following is a PBE calculation of a relaxed structure of CuB4As, from the Open Quantum Materials Database.

Properties
polymorph energy (0 for the lowest one) = 0.0000 eV per atom

abc: 3.0468 3.0468 7.0724
angles: 90.00 90.00 120.00
With the nearest neighbours (Å) after each atom.
Atoms (fractional coordinates):
B1 0.3333 0.6667 0.2299  3 B 1.76
B2 0.6667 0.3333 0.7701  3 B 1.76
B3 0.6667 0.3333 0.2299  3 B 1.76
B4 0.3333 0.6667 0.7701  3 B 1.76
Cu1 0.0000 0.0000 0.0000  12 B 2.40
As1 0.0000 0.0000 0.5000  12 B 2.60

4.
The following is a PBE calculation of a relaxed structure of Cu2BAs, from the Open Quantum Materials Database.

Properties
DFT total energy = -4.05 eV per atom

abc: 5.8670 5.8670 5.8670
angles: 90.00 90.00 90.00
With the nearest neighbours (Å) after each atom.
Atoms (fractional coordinates):
Cu1 0.2129 0.7871 0.2129  1 B 2.16
Cu2 0.2129 0.2129 0.7871  1 B 2.16
Cu3 0.7871 0.7871 0.7871  1 B 2.16
Cu4 0.7871 0.2129 0.7871  1 B 2.16
Cu5 0.2129 0.2129 0.2129  1 B 2.16
Cu6 0.2129 0.7871 0.7871  1 B 2.16
Cu7 0.7871 0.2129 0.2129  1 B 2.16
Cu8 0.7871 0.7871 0.2129  1 B 2.16
B1 0.0000 0.5000 0.0000  8 Cu 2.44
B2 0.0000 0.0000 0.5000  8 Cu 2.44
B3 0.0000 0.0000 0.0000  8 Cu 2.16
B4 0.5000 0.0000 0.0000  8 Cu 2.44
As1 0.5000 0.5000 0.0000  8 Cu 2.69, 2 As 2.93, 4 B 2.93
As2 0.5000 0.5000 0.5000  8 Cu 2.92, 6 As 2.93
As3 0.5000 0.0000 0.5000  8 Cu 2.69, 2 As 2.93, 4 B 2.93
As4 0.0000 0.5000 0.5000  8 Cu 2.69, 2 As 2.93, 4 B 2.93

5.
The following is a PBE calculation of a relaxed structure of CuB4As, from the Open Quantum Materials Database.

Properties
polymorph energy (0 for the lowest one) = 0.0038 eV per atom

abc: 4.6383 4.6383 4.6383
angles: 141.59 110.29 82.50
With the nearest neighbours (Å) after each atom.
Atoms (fractional coordinates):
B1 0.4215 0.7549 0.6666  3 B 1.76-1.77
B2 0.9117 0.2451 0.6666  3 B 1.76-1.77
B3 0.5785 0.2451 0.3334  3 B 1.76-1.77
B4 0.0883 0.7549 0.3334  3 B 1.76-1.77
Cu1 0.5000 0.5000 0.0000  12 B 2.46-2.51
As1 0.0000 0.0000 0.0000  12 B 2.46-2.50

6.
The following is a PBE calculation of a relaxed structure of Cu2BAs, from the Open Quantum Materials Database.

Properties
DFT total energy = -4.05 eV per atom

abc: 5.8667 5.8667 5.8667
angles: 90.00 90.00 90.00
With the nearest neighbours (Å) after each atom.
Atoms (fractional coordinates):
B1 0.5000 0.5000 0.0000  8 Cu 2.44
B2 0.0000 0.5000 0.5000  8 Cu 2.44
B3 0.5000 0.5000 0.5000  8 Cu 2.16
B4 0.5000 0.0000 0.5000  8 Cu 2.44
Cu1 0.7128 0.2872 0.2872  1 B 2.16
Cu2 0.7128 0.2872 0.7128  1 B 2.16
Cu3 0.7128 0.7128 0.2872  1 B 2.16
Cu4 0.2872 0.7128 0.2872  1 B 2.16
Cu5 0.2872 0.2872 0.7128  1 B 2.16
Cu6 0.2872 0.2872 0.2872  1 B 2.16
Cu7 0.2872 0.7128 0.7128  1 B 2.16
Cu8 0.7128 0.7128 0.7128  1 B 2.16
As1 0.0000 0.0000 0.5000  8 Cu 2.69, 4 B 2.93, 2 As 2.93
As2 0.0000 0.0000 0.0000  8 Cu 2.92, 6 As 2.93
As3 0.0000 0.5000 0.0000  8 Cu 2.69, 4 B 2.93, 2 As 2.93
As4 0.5000 0.0000 0.0000  8 Cu 2.69, 4 B 2.93, 2 As 2.93

7.
The following is a PBE calculation of a relaxed structure of CuBAsIr, from the Open Quantum Materials Database.

Properties
polymorph energy (0 for the lowest one) = 0.1977 eV per atom

abc: 4.1718 4.1718 4.1718
angles: 60.00 60.00 60.00
With the nearest neighbours (Å) after each atom.
Atoms (fractional coordinates):
B1 0.2500 0.2500 0.2500  4 As 2.55, 4 Ir 2.55
As1 0.5000 0.5000 0.5000  4 Cu 2.55, 4 B 2.55
Cu1 0.7500 0.7500 0.7500  4 Ir 2.55, 4 As 2.55
Ir1 0.0000 0.0000 0.0000  4 Cu 2.55, 4 B 2.55

8.
The following is a PBE calculation of a relaxed structure of CuBAsIr, from the Open Quantum Materials Database.

Properties
polymorph energy (0 for the lowest one) = 0.0000 eV per atom

abc: 4.1450 4.1450 4.1450
angles: 60.00 60.00 60.00
With the nearest neighbours (Å) after each atom.
Atoms (fractional coordinates):
Cu1 0.7500 0.7500 0.7500  4 B 2.54, 4 As 2.54
B1 0.5000 0.5000 0.5000  4 Cu 2.54, 4 Ir 2.54
Ir1 0.2500 0.2500 0.2500  4 As 2.54, 4 B 2.54
As1 0.0000 0.0000 0.0000  4 Ir 2.54, 4 Cu 2.54

- Which formula does entry 5 have?
  CuB4As